{
  "formula": "Ti3HW",
  "functional": "PBE",
  "state": "optimized geometry",
  "final_energy_ev_per_atom": -8.0045,
  "lattice_angstrom": [[4.083, 0.000, 0.000], [0.000, 4.083, 0.000], [0.000, 0.000, 4.083]],
  "species": ["Ti", "Ti", "Ti", "H", "W"],
  "fractional_positions": [[0.000, 0.000, 0.500], [0.000, 0.500, 0.000], [0.500, 0.000, 0.000], [0.000, 0.000, 0.000], [0.500, 0.500, 0.500]]
}

{
  "formula": "Cd2HgN",
  "functional": "PBE",
  "state": "optimized geometry",
  "raw_formation_energy_mev_per_atom": 413,
  "lattice_angstrom": [[3.050, -1.782, 0.000], [3.050, 1.782, 0.000], [-1.898, 0.000, 7.125]],
  "species": ["Cd", "Cd", "Hg", "N"],
  "fractional_positions": [[0.220, 0.220, 0.170], [0.780, 0.780, 0.830], [0.000, 0.000, 0.500], [0.500, 0.500, 0.000]]
}

We obtain mass density values of 8.01; 9.42 g/cm³ for the records listed above, in that order.